## Ta3CrAu (SCAN)

Data for a crystal of Ta3CrAu relaxed with PBEsol.

Output
energy relative to the elements	4.74	eV per formula unit
total energy	-56.51	eV/atom
space group	Pm-3m

Cell and atoms, written as POSCAR:
```
Ta3CrAu
1.0
4.523 0.000 0.000
0.000 4.523 0.000
0.000 0.000 4.523
Ta Au Cr
3 1 1
Direct
0.000 0.500 0.000 Ta
0.500 0.000 0.000 Ta
0.000 0.000 0.500 Ta
0.500 0.500 0.500 Au
0.000 0.000 0.000 Cr
```

---

## ScCd2Hg (SCAN)

Data for a crystal of ScCd2Hg relaxed with PBEsol.

Output
energy relative to the elements	-0.99	eV per formula unit
total energy	-36.05	eV/atom
space group	Cm

Cell and atoms, written as POSCAR:
```
ScCd2Hg
1.0
3.278 0.000 0.000
-1.639 4.830 -0.003
0.000 -1.200 5.321
Cd Hg Sc
2 1 1
Direct
0.001 0.002 0.012 Cd
0.752 0.505 0.238 Cd
0.500 0.000 0.515 Hg
0.246 0.493 0.736 Sc
```

---

Q: What is the total energy in the second record?
A: -36.05 eV/atom

---

Q: Which value of energy relative to the elements does entry 2 give?
A: -0.99 eV per formula unit

---

Q: What is the total energy in the first record?
A: -56.51 eV/atom